The following is a PBE-GGA calculation of an optimized crystal structure of CaLaZr2, from Alexandria via LeMat-Bulk.

Results
- energy of formation (meV per atom) = 495
- N(E_F) (states/eV/atom) = 1.993
- uncorrected energy (eV/atom) = -5.5116

a b c (Å): 7.7048 7.7048 7.7048
angles (deg): 90.00 90.00 90.00
Space group Fm-3m (No. 225)
Asymmetric unit:
1 Ca 0.0000 0.0000 0.0000 [4 per cell]
2 La 0.0000 0.0000 0.5000 [4 per cell]
3 Zr 0.2500 0.2500 0.2500 [8 per cell]